Compound: Sn2MoPt9
Source: the Alexandria database
Functional: PBE
Structure: optimized geometry

Cell lengths 4.0165, 4.0165, 12.1933 Å; angles 90.00, 90.00, 90.00 degrees
With the nearest neighbours (Å) after each atom.
Space group P4/mmm (No. 123)
One atom of each set of equivalent atoms:
Sn1 0.0000 0.0000 0.1667  12 Pt 2.84-2.94
Mo1 0.0000 0.0000 0.5000  12 Pt 2.78-2.84
Pt1 0.0000 0.5000 0.0000  8 Pt 2.84-2.90, 4 Sn 2.86
Pt2 0.0000 0.5000 0.3427  8 Pt 2.78-2.89, 2 Mo 2.78, 2 Sn 2.94
Pt3 0.5000 0.5000 0.1717  4 Sn 2.84, 8 Pt 2.89-2.90
Pt4 0.5000 0.5000 0.5000  8 Pt 2.78, 4 Mo 2.84

Summary:
Spin magnetization ... 0.11 μB/atom
DFT formation energy ... -0.314 eV per atom
ρ ... 17.64 Mg/m³

Compound: SnMoPt
Source: the Alexandria database
Functional: PBE
Structure: optimized geometry

Cell lengths 13.3851, 2.9355, 5.4892 Å; angles 90.00, 90.00, 90.00 degrees
With the nearest neighbours (Å) after each atom.
Space group Amm2 (No. 38)
One atom of each set of equivalent atoms:
Sn1 0.1699 0.0000 0.0000  3 Pt 2.86-3.16, 3 Mo 2.87-2.89, 6 Sn 2.94-3.11
Mo1 0.0000 0.0000 0.3235  6 Sn 2.87-2.89, 6 Mo 2.94-3.11
Mo2 0.5000 0.0000 0.2969  6 Pt 2.71, 2 Mo 2.94
Pt1 0.3464 0.0000 0.6186  3 Mo 2.71, 2 Sn 2.86, 2 Pt 2.94

Summary:
Spin magnetization ... 0.00 μB/atom
DFT formation energy ... 0.092 eV per atom
ρ ... 12.62 Mg/m³

Compound: Sn2Mo2Pt
Source: the Alexandria database
Functional: PBE
Structure: optimized geometry

Cell lengths 7.8289, 7.8289, 3.1418 Å; angles 90.00, 90.00, 90.00 degrees
With the nearest neighbours (Å) after each atom.
Space group P4/mbm (No. 127)
One atom of each set of equivalent atoms:
Sn1 0.1823 0.3177 0.0000  6 Mo 2.78-2.83, 2 Pt 2.87
Mo1 0.1101 0.6101 0.5000  1 Mo 2.44
Pt1 0.0000 0.0000 0.0000  4 Sn 2.87, 2 Pt 3.14

Summary:
Spin magnetization ... 0.00 μB/atom
DFT formation energy ... 0.353 eV per atom
Excess energy over the best structure of this formula in the dataset ... 0 meV per atom
ρ ... 10.77 Mg/m³

Compound: Sn2TeMoPt
Source: the Alexandria database
Functional: PBE
Structure: optimized geometry

Cell lengths 5.2327, 5.2327, 5.0401 Å; angles 90.00, 90.00, 90.00 degrees
With the nearest neighbours (Å) after each atom.
Space group P4/mmm (No. 123)
One atom of each set of equivalent atoms:
Sn1 0.0000 0.5000 0.0000  2 Mo 2.62
Te1 0.0000 0.0000 0.5000  2 Mo 2.52
Mo1 0.0000 0.0000 0.0000  2 Te 2.52, 4 Sn 2.62
Pt1 0.5000 0.5000 0.5000  8 Sn 3.63, 4 Te 3.70

Summary:
E_form (uncorrected) ... 0.70 eV per atom
Spin magnetization ... 0.00 μB/atom
ρ ... 7.89 Mg/m³

Compound: TiSnMoPt
Source: the Alexandria database
Functional: PBE
Structure: optimized geometry

Cell lengths 6.4500, 6.4500, 6.4500 Å; angles 90.00, 90.00, 90.00 degrees
With the nearest neighbours (Å) after each atom.
Space group F-43m (No. 216)
One atom of each set of equivalent atoms:
Ti1 0.0000 0.0000 0.0000  4 Mo 2.79, 4 Pt 2.79
Sn1 0.0000 0.0000 0.5000  4 Pt 2.79, 4 Mo 2.79
Mo1 0.2500 0.2500 0.7500  4 Sn 2.79, 4 Ti 2.79
Pt1 0.2500 0.2500 0.2500  4 Ti 2.79, 4 Sn 2.79

Summary:
Spin magnetization ... 0.00 μB/atom
DFT formation energy ... -0.330 eV per atom
ρ ... 11.33 Mg/m³

Compound: Sr2MoPt2
Source: the Alexandria database
Functional: PBE
Structure: optimized geometry

Cell lengths 6.8965, 6.8965, 4.9756 Å; angles 90.00, 90.00, 90.00 degrees
With the nearest neighbours (Å) after each atom.
Space group P4/mbm (No. 127)
One atom of each set of equivalent atoms:
Sr1 0.1757 0.3243 0.0000  6 Pt 3.06-3.32
Mo1 0.0000 0.0000 0.5000  4 Pt 2.66
Pt1 0.1418 0.6418 0.5000  2 Mo 2.66, 1 Pt 2.77

Summary:
Spin magnetization ... 0.06 μB/atom
DFT formation energy ... -0.195 eV per atom
ρ ... 9.28 Mg/m³

- Which of these has the highest spin magnetization?
  Sn2MoPt9